Entry 1:
! HoMgF PBE optimized geometry; values from VASP
&SYSTEM
  ibrav = 0, nat = 6, ntyp = 3
/
ATOMIC_SPECIES
Ho 164.93 Ho.upf
Mg 24.30 Mg.upf
F 19.00 F.upf
ATOMIC_POSITIONS angstrom
Ho 0.000 0.000 2.647
Ho 0.000 0.000 9.876
Mg 0.000 1.991 0.000
Mg 1.725 0.996 6.262
F 1.725 0.996 4.113
F 1.725 0.996 8.410
CELL_PARAMETERS angstrom
3.449 0.000 0.000
-1.725 2.987 0.000
0.000 0.000 12.523
! * formation energy from raw total energies: -1.496 eV/atom
! * calculated total energy: -4.177 eV/atom
! * M_tot: 0.000 μB/atom

---

Entry 2:
! CrCo2PtN PBE optimized geometry; values from VASP
&SYSTEM
  ibrav = 0, nat = 5, ntyp = 4
/
ATOMIC_SPECIES
Cr 52.00 Cr.upf
Co 58.93 Co.upf
Pt 195.08 Pt.upf
N 14.01 N.upf
ATOMIC_POSITIONS angstrom
Cr 0.000 0.000 0.000
Co 0.000 1.910 1.898
Co 1.910 0.000 1.898
Pt 1.910 1.910 0.000
N 0.000 0.000 1.898
CELL_PARAMETERS angstrom
3.820 0.000 0.000
0.000 3.820 0.000
0.000 0.000 3.796
! * formation energy from raw total energies: -0.104 eV/atom
! * calculated total energy: -7.744 eV/atom
! * M_tot: 0.510 μB/atom

---

Entry 3:
! NpHgPbAu PBE optimized geometry; values from VASP
&SYSTEM
  ibrav = 0, nat = 4, ntyp = 4
/
ATOMIC_SPECIES
Np 237.00 Np.upf
Hg 200.59 Hg.upf
Pb 207.20 Pb.upf
Au 196.97 Au.upf
ATOMIC_POSITIONS angstrom
Np 0.000 0.000 0.000
Hg 5.501 5.501 5.501
Pb 3.668 3.668 3.668
Au 1.834 1.834 1.834
CELL_PARAMETERS angstrom
0.000 3.668 3.668
3.668 0.000 3.668
3.668 3.668 0.000
! * calculated total energy: -5.027 eV/atom
! * M_tot: 1.052 μB/atom
! * ΔE_f: 30 meV/atom

---

Entry 4:
! Tb6ZnTe5 PBE optimized geometry; values from VASP
&SYSTEM
  ibrav = 0, nat = 12, ntyp = 3
/
ATOMIC_SPECIES
Tb 158.93 Tb.upf
Zn 65.41 Zn.upf
Te 127.60 Te.upf
ATOMIC_POSITIONS angstrom
Tb -0.088 2.024 5.196
Tb 1.070 0.000 1.837
Tb -0.088 -2.024 5.196
Tb 5.146 2.024 1.899
Tb 3.988 0.000 5.257
Tb 5.146 -2.024 1.899
Zn -1.254 0.000 3.547
Te 3.783 4.218 0.000
Te 2.529 2.143 3.547
Te 3.783 0.000 0.000
Te 2.529 -2.143 3.547
Te 3.783 -4.218 0.000
CELL_PARAMETERS angstrom
3.783 -6.532 0.000
3.783 6.532 0.000
-2.508 0.000 7.094
! * formation energy from raw total energies: -1.187 eV/atom
! * calculated total energy: -4.917 eV/atom
! * M_tot: 0.000 μB/atom

---

Entry 5:
! TaZnRh PBE optimized geometry; values from VASP
&SYSTEM
  ibrav = 0, nat = 3, ntyp = 3
/
ATOMIC_SPECIES
Ta 180.95 Ta.upf
Zn 65.41 Zn.upf
Rh 102.91 Rh.upf
ATOMIC_POSITIONS angstrom
Ta 0.000 0.000 0.000
Zn 0.000 0.000 5.527
Rh 0.000 0.000 2.710
CELL_PARAMETERS angstrom
-1.429 1.948 4.125
1.429 -1.948 4.125
1.429 1.948 -4.125
! * calculated total energy: -7.151 eV/atom
! * M_tot: 0.000 μB/atom
! * ΔE_f: -325 meV/atom

---

Entry 6:
! Mg2MoAs PBE optimized geometry; values from VASP
&SYSTEM
  ibrav = 0, nat = 4, ntyp = 3
/
ATOMIC_SPECIES
Mg 24.30 Mg.upf
Mo 95.94 Mo.upf
As 74.92 As.upf
ATOMIC_POSITIONS angstrom
Mg 1.914 0.000 2.335
Mg 0.000 1.914 2.335
Mo 0.000 0.000 0.000
As 0.000 0.000 4.671
CELL_PARAMETERS angstrom
-1.914 1.914 4.671
1.914 -1.914 4.671
1.914 1.914 -4.671
! * calculated total energy: -4.545 eV/atom
! * M_tot: 0.000 μB/atom
! * ΔE_f: 123 meV/atom